Below is crystalline TaInFeIr at its relaxed geometry, with properties calculated at the PBE-GGA level.

Cell: 4.527 4.527 4.527 Å, 60.00 60.00 60.00°
Positions (direct):
In  0.000  0.000  0.000
Ir  0.500  0.500  0.500
Ta  0.250  0.250  0.250
Fe  0.750  0.750  0.750

Summary:
spin magnetization	3.1	μB/f.u.
electronic total energy	-7.7645	eV/atom